[1]
## PrSm5Bi5 (PBE)

Data for PrSm5Bi5 after structural relaxation.

```
11
Lattice="6.419 0.000 0.000 -3.209 7.130 -0.078 0.000 -2.757 8.621" Properties=species:S:1:pos:R:3 pbc="T T T"
Pr 0.000 0.000 0.000
Sm 3.209 1.423 2.859
Sm 3.209 0.068 7.145
Sm 0.000 -1.378 4.311
Sm 0.000 4.306 1.398
Sm 0.000 2.950 5.684
Bi 3.209 4.231 1.410
Bi 3.209 2.910 5.654
Bi 3.209 0.000 0.000
Bi 0.000 1.464 2.889
Bi 0.000 0.142 7.134
```

Calculated values
- Total moment: 0.00 μB per atom
- Volume: 393 Å³/cell
- Energy of formation: -0.743 eV/atom
- Space group: C2/m (12)



[2]
## Ac2CdPdAu6 (PBE)

Data for Ac2CdPdAu6 after structural relaxation.

```
10
Lattice="-5.516 -3.894 2.677 3.662 -0.922 6.205 -3.039 1.878 6.324" Properties=species:S:1:pos:R:3 pbc="T T T"
Ac -0.152 -0.726 8.485
Ac -4.741 -2.212 6.721
Cd -0.927 -2.408 4.441
Pd 0.000 0.000 0.000
Au 1.391 -1.657 5.332
Au -4.434 -1.746 13.008
Au -1.993 -0.243 5.392
Au -3.244 -3.159 3.550
Au -0.459 -1.192 2.198
Au -2.899 -2.694 9.814
```

Calculated values
- Total moment: 0.00 μB per atom
- Volume: 271 Å³/cell
- Energy of formation: -0.225 eV/atom
- Space group: Fm-3m (225)



[3]
## Sn2PPb (PBE)

Data for Sn2PPb after structural relaxation.

```
4
Lattice="-1.044 1.943 2.912 -3.528 0.814 0.484 -2.738 -7.375 6.231" Properties=species:S:1:pos:R:3 pbc="T T T"
Pb 0.000 0.000 0.000
P -3.655 -2.309 4.814
Sn -2.344 -4.683 4.576
Sn -4.966 0.065 5.051
```

Calculated values
- Total moment: 0.00 μB per atom
- Volume: 113 Å³/cell
- Energy of formation: 0.116 eV/atom
- Space group: R-3m (166)